[1]
Compound: TcP2PtCl
Source: Alexandria via LeMat-Bulk
Functional: GGA-PBE
Structure: relaxed

Cell and atoms, written as CIF:
```
data_TcP2PtCl
_symmetry_space_group_name_H-M 'P 1'
_symmetry_Int_Tables_number 1
_symmetry_space_group_name_Hall 'P 1'
_cell_length_a 4.5411
_cell_length_b 4.5411
_cell_length_c 4.8074
_cell_angle_alpha 90.00
_cell_angle_beta 90.00
_cell_angle_gamma 90.00
loop_
_atom_site_label
_atom_site_fract_x
_atom_site_fract_y
_atom_site_fract_z
_atom_site_occupancy
Tc1 0.0000 0.0000 0.0000 1
P1 0.0000 0.5000 0.0000 1
P2 0.5000 0.0000 0.0000 1
Pt1 0.5000 0.5000 0.5000 1
Cl1 0.0000 0.0000 0.5000 1
```

Results
Mass density   6.54 g/cm3
Symmetry   P4/mmm (123)
Size of the total moment   0.00 Bohr magnetons per cell
Formation energy (no corrections)   0.77 eV/atom
Distance to the lowest polymorph of the same formula   0.000 kcal/mol of atoms
Final energy   -5.050 eV/atom

=====

[2]
Compound: KHgBi2Pd2
Source: Alexandria via LeMat-Bulk
Functional: GGA-PBE
Structure: relaxed

Cell and atoms, written as CIF:
```
data_KHgBi2Pd2
_symmetry_space_group_name_H-M 'P 1'
_symmetry_Int_Tables_number 1
_symmetry_space_group_name_Hall 'P 1'
_cell_length_a 5.1488
_cell_length_b 5.1488
_cell_length_c 6.7424
_cell_angle_alpha 90.00
_cell_angle_beta 90.00
_cell_angle_gamma 90.00
loop_
_atom_site_label
_atom_site_fract_x
_atom_site_fract_y
_atom_site_fract_z
_atom_site_occupancy
K1 0.0000 0.0000 0.0000 1
Hg1 0.0000 0.0000 0.5000 1
Bi1 0.5000 0.5000 0.2689 1
Bi2 0.5000 0.5000 0.7311 1
Pd1 0.0000 0.5000 0.5000 1
Pd2 0.5000 0.0000 0.5000 1
```

Results
Mass density   8.09 g/cm3
Symmetry   P4/mmm (123)
Size of the total moment   0.00 Bohr magnetons per cell
ΔE_f   -0.1696 eV per atom
Final energy   -3.427 eV/atom

=====

[3]
Compound: YFe2Co
Source: Alexandria via LeMat-Bulk
Functional: GGA-PBE
Structure: relaxed

Cell and atoms, written as CIF:
```
data_YFe2Co
_symmetry_space_group_name_H-M 'P 1'
_symmetry_Int_Tables_number 1
_symmetry_space_group_name_Hall 'P 1'
_cell_length_a 4.3943
_cell_length_b 4.3943
_cell_length_c 6.1927
_cell_angle_alpha 90.00
_cell_angle_beta 90.00
_cell_angle_gamma 90.00
loop_
_atom_site_label
_atom_site_fract_x
_atom_site_fract_y
_atom_site_fract_z
_atom_site_occupancy
Y1 0.0000 0.0000 0.0000 1
Y2 0.5000 0.5000 0.5000 1
Fe1 0.0000 0.0000 0.5000 1
Fe2 0.0000 0.5000 0.2500 1
Fe3 0.5000 0.0000 0.7500 1
Fe4 0.5000 0.5000 0.0000 1
Co1 0.0000 0.5000 0.7500 1
Co2 0.5000 0.0000 0.2500 1
```

Results
Mass density   7.21 g/cm3
Symmetry   I-4m2 (119)
Size of the total moment   10.67 Bohr magnetons per cell
ΔE_f   0.2022 eV per atom
Final energy   -7.422 eV/atom

=====

[4]
Compound: NaHfI2O
Source: Alexandria via LeMat-Bulk
Functional: GGA-PBE
Structure: relaxed

Cell and atoms, written as CIF:
```
data_NaHfI2O
_symmetry_space_group_name_H-M 'P 1'
_symmetry_Int_Tables_number 1
_symmetry_space_group_name_Hall 'P 1'
_cell_length_a 5.5273
_cell_length_b 5.5273
_cell_length_c 3.9787
_cell_angle_alpha 90.00
_cell_angle_beta 90.00
_cell_angle_gamma 90.00
loop_
_atom_site_label
_atom_site_fract_x
_atom_site_fract_y
_atom_site_fract_z
_atom_site_occupancy
Na1 0.0000 0.0000 0.0000 1
Hf1 0.5000 0.5000 0.5000 1
I1 0.0000 0.5000 0.0000 1
I2 0.5000 0.0000 0.0000 1
O1 0.0000 0.0000 0.5000 1
```

Results
Mass density   6.44 g/cm3
Symmetry   P4/mmm (123)
Size of the total moment   0.00 Bohr magnetons per cell
Formation energy (no corrections)   0.26 eV/atom
Distance to the lowest polymorph of the same formula   37.408 kcal/mol of atoms
Final energy   -3.601 eV/atom

=====

[5]
Compound: Zr2InAgH
Source: Alexandria via LeMat-Bulk
Functional: GGA-PBE
Structure: relaxed

Cell and atoms, written as CIF:
```
data_Zr2InAgH
_symmetry_space_group_name_H-M 'P 1'
_symmetry_Int_Tables_number 1
_symmetry_space_group_name_Hall 'P 1'
_cell_length_a 4.3909
_cell_length_b 4.3909
_cell_length_c 4.4470
_cell_angle_alpha 90.00
_cell_angle_beta 90.00
_cell_angle_gamma 90.00
loop_
_atom_site_label
_atom_site_fract_x
_atom_site_fract_y
_atom_site_fract_z
_atom_site_occupancy
Zr1 0.0000 0.5000 0.0000 1
Zr2 0.5000 0.0000 0.0000 1
In1 0.0000 0.0000 0.5000 1
Ag1 0.5000 0.5000 0.5000 1
H1 0.5000 0.5000 0.0000 1
```

Results
Mass density   7.87 g/cm3
Symmetry   P4/mmm (123)
Size of the total moment   0.00 Bohr magnetons per cell
Distance to the lowest polymorph of the same formula   0.000 kcal/mol of atoms
Final energy   -5.469 eV/atom

=====

[6]
Compound: Mn2BeZn2
Source: Alexandria via LeMat-Bulk
Functional: GGA-PBE
Structure: relaxed

Cell and atoms, written as CIF:
```
data_Mn2BeZn2
_symmetry_space_group_name_H-M 'P 1'
_symmetry_Int_Tables_number 1
_symmetry_space_group_name_Hall 'P 1'
_cell_length_a 5.5733
_cell_length_b 5.5733
_cell_length_c 3.9982
_cell_angle_alpha 90.00
_cell_angle_beta 90.00
_cell_angle_gamma 90.00
loop_
_atom_site_label
_atom_site_fract_x
_atom_site_fract_y
_atom_site_fract_z
_atom_site_occupancy
Mn1 0.1327 0.3673 0.0000 1
Mn2 0.3673 0.8673 0.0000 1
Mn3 0.6327 0.1327 0.0000 1
Mn4 0.8673 0.6327 0.0000 1
Be1 0.0000 0.0000 0.0000 1
Be2 0.5000 0.5000 0.0000 1
Zn1 0.1728 0.6728 0.5000 1
Zn2 0.3272 0.1728 0.5000 1
Zn3 0.6728 0.8272 0.5000 1
Zn4 0.8272 0.3272 0.5000 1
```

Results
Mass density   6.68 g/cm3
Symmetry   P4/mbm (127)
Size of the total moment   3.12 Bohr magnetons per cell
ΔE_f   0.2739 eV per atom
Distance to the lowest polymorph of the same formula   0.000 kcal/mol of atoms
Final energy   -4.649 eV/atom

=====

[7]
Compound: Pr4NiSeI2
Source: Alexandria via LeMat-Bulk
Functional: GGA-PBE
Structure: relaxed

Cell and atoms, written as CIF:
```
data_Pr4NiSeI2
_symmetry_space_group_name_H-M 'P 1'
_symmetry_Int_Tables_number 1
_symmetry_space_group_name_Hall 'P 1'
_cell_length_a 7.6385
_cell_length_b 4.1409
_cell_length_c 8.1798
_cell_angle_alpha 90.00
_cell_angle_beta 106.68
_cell_angle_gamma 90.00
loop_
_atom_site_label
_atom_site_fract_x
_atom_site_fract_y
_atom_site_fract_z
_atom_site_occupancy
Pr1 0.2063 0.0000 0.1906 1
Pr2 0.2592 0.5000 0.8007 1
Pr3 0.7408 0.5000 0.1993 1
Pr4 0.7937 0.0000 0.8094 1
Ni1 0.0000 0.5000 0.0000 1
Se1 0.5000 0.0000 0.0000 1
I1 0.0000 0.0000 0.5000 1
I2 0.5000 0.5000 0.5000 1
```

Results
Mass density   6.40 g/cm3
Symmetry   P2/m (10)
Size of the total moment   0.00 Bohr magnetons per cell
Formation energy (no corrections)   -1.03 eV/atom
Final energy   -4.964 eV/atom

=====

[8]
Compound: Be2RuBr
Source: Alexandria via LeMat-Bulk
Functional: GGA-PBE
Structure: relaxed

Cell and atoms, written as CIF:
```
data_Be2RuBr
_symmetry_space_group_name_H-M 'P 1'
_symmetry_Int_Tables_number 1
_symmetry_space_group_name_Hall 'P 1'
_cell_length_a 5.3111
_cell_length_b 8.0990
_cell_length_c 3.0388
_cell_angle_alpha 90.00
_cell_angle_beta 124.17
_cell_angle_gamma 90.00
loop_
_atom_site_label
_atom_site_fract_x
_atom_site_fract_y
_atom_site_fract_z
_atom_site_occupancy
Be1 0.2500 0.2500 0.0000 1
Be2 0.2500 0.7500 0.0000 1
Be3 0.7500 0.2500 0.0000 1
Be4 0.7500 0.7500 0.0000 1
Ru1 0.0000 0.0000 0.0000 1
Ru2 0.5000 0.5000 0.0000 1
Br1 0.0000 0.5000 0.0000 1
Br2 0.5000 0.0000 0.0000 1
```

Results
Mass density   6.11 g/cm3
Symmetry   C2/m (12)
Size of the total moment   0.00 Bohr magnetons per cell
Formation energy (no corrections)   0.68 eV/atom
Distance to the lowest polymorph of the same formula   13.047 kcal/mol of atoms
Final energy   -3.918 eV/atom

=====

[9]
Compound: LaSi6
Source: Alexandria via LeMat-Bulk
Functional: GGA-PBE
Structure: relaxed

Cell and atoms, written as CIF:
```
data_LaSi6
_symmetry_space_group_name_H-M 'P 1'
_symmetry_Int_Tables_number 1
_symmetry_space_group_name_Hall 'P 1'
_cell_length_a 6.6649
_cell_length_b 6.6649
_cell_length_c 6.6649
_cell_angle_alpha 90.00
_cell_angle_beta 90.00
_cell_angle_gamma 90.00
loop_
_atom_site_label
_atom_site_fract_x
_atom_site_fract_y
_atom_site_fract_z
_atom_site_occupancy
La1 0.0000 0.0000 0.0000 1
La2 0.5000 0.5000 0.5000 1
Si1 0.0000 0.2500 0.5000 1
Si2 0.0000 0.5000 0.2500 1
Si3 0.0000 0.5000 0.7500 1
Si4 0.0000 0.7500 0.5000 1
Si5 0.2500 0.0000 0.5000 1
Si6 0.2500 0.5000 0.0000 1
Si7 0.5000 0.0000 0.2500 1
Si8 0.5000 0.0000 0.7500 1
Si9 0.5000 0.2500 0.0000 1
Si10 0.5000 0.7500 0.0000 1
Si11 0.7500 0.0000 0.5000 1
Si12 0.7500 0.5000 0.0000 1
```

Results
Mass density   3.45 g/cm3
Symmetry   Im-3m (229)
Size of the total moment   0.00 Bohr magnetons per cell
Formation energy (no corrections)   0.03 eV/atom
Final energy   -5.323 eV/atom

=====

[10]
Compound: Be2CdRu
Source: Alexandria via LeMat-Bulk
Functional: GGA-PBE
Structure: relaxed

Cell and atoms, written as CIF:
```
data_Be2CdRu
_symmetry_space_group_name_H-M 'P 1'
_symmetry_Int_Tables_number 1
_symmetry_space_group_name_Hall 'P 1'
_cell_length_a 3.5755
_cell_length_b 3.1050
_cell_length_c 8.9394
_cell_angle_alpha 90.00
_cell_angle_beta 90.00
_cell_angle_gamma 90.00
loop_
_atom_site_label
_atom_site_fract_x
_atom_site_fract_y
_atom_site_fract_z
_atom_site_occupancy
Be1 0.0000 0.0000 0.0000 1
Be2 0.0000 0.5000 0.5000 1
Be3 0.5000 0.0000 0.1385 1
Be4 0.5000 0.5000 0.6385 1
Cd1 0.0000 0.0000 0.7335 1
Cd2 0.0000 0.5000 0.2335 1
Ru1 0.5000 0.0000 0.4457 1
Ru2 0.5000 0.5000 0.9457 1
```

Results
Mass density   7.75 g/cm3
Symmetry   Amm2 (38)
Size of the total moment   0.00 Bohr magnetons per cell
ΔE_f   0.0500 eV per atom
Final energy   -4.361 eV/atom

=====

[11]
Compound: Sr2ErTmS4
Source: Alexandria via LeMat-Bulk
Functional: GGA-PBE
Structure: relaxed

Cell and atoms, written as CIF:
```
data_Sr2ErTmS4
_symmetry_space_group_name_H-M 'P 1'
_symmetry_Int_Tables_number 1
_symmetry_space_group_name_Hall 'P 1'
_cell_length_a 6.9273
_cell_length_b 4.0071
_cell_length_c 7.1257
_cell_angle_alpha 90.00
_cell_angle_beta 108.97
_cell_angle_gamma 90.00
loop_
_atom_site_label
_atom_site_fract_x
_atom_site_fract_y
_atom_site_fract_z
_atom_site_occupancy
Sr1 0.0000 0.0000 0.0000 1
Sr2 0.5000 0.5000 0.0000 1
Er1 0.0000 0.5000 0.5000 1
Tm1 0.5000 0.0000 0.5000 1
S1 0.2429 0.0000 0.7250 1
S2 0.2594 0.5000 0.2757 1
S3 0.7406 0.5000 0.7243 1
S4 0.7571 0.0000 0.2750 1
```

Results
Mass density   5.68 g/cm3
Symmetry   P2/m (10)
Size of the total moment   0.00 Bohr magnetons per cell
Formation energy (no corrections)   -2.01 eV/atom
Final energy   -5.628 eV/atom

=====

[12]
Compound: Ta2TcPPb
Source: Alexandria via LeMat-Bulk
Functional: GGA-PBE
Structure: relaxed

Cell and atoms, written as CIF:
```
data_Ta2TcPPb
_symmetry_space_group_name_H-M 'P 1'
_symmetry_Int_Tables_number 1
_symmetry_space_group_name_Hall 'P 1'
_cell_length_a 4.9884
_cell_length_b 4.9884
_cell_length_c 4.4021
_cell_angle_alpha 90.00
_cell_angle_beta 90.00
_cell_angle_gamma 90.00
loop_
_atom_site_label
_atom_site_fract_x
_atom_site_fract_y
_atom_site_fract_z
_atom_site_occupancy
Ta1 0.0000 0.5000 0.0000 1
Ta2 0.5000 0.0000 0.0000 1
Tc1 0.0000 0.0000 0.0000 1
P1 0.0000 0.0000 0.5000 1
Pb1 0.5000 0.5000 0.5000 1
```

Results
Mass density   10.58 g/cm3
Symmetry   P4/mmm (123)
Size of the total moment   0.00 Bohr magnetons per cell
ΔE_f   0.8339 eV per atom
Final energy   -7.804 eV/atom

=====

[13]
Compound: Y2SiS
Source: Alexandria via LeMat-Bulk
Functional: GGA-PBE
Structure: relaxed

Cell and atoms, written as CIF:
```
data_Y2SiS
_symmetry_space_group_name_H-M 'P 1'
_symmetry_Int_Tables_number 1
_symmetry_space_group_name_Hall 'P 1'
_cell_length_a 3.9662
_cell_length_b 3.9662
_cell_length_c 21.0275
_cell_angle_alpha 90.00
_cell_angle_beta 90.00
_cell_angle_gamma 120.00
loop_
_atom_site_label
_atom_site_fract_x
_atom_site_fract_y
_atom_site_fract_z
_atom_site_occupancy
Y1 0.0000 0.0000 0.0000 1
Y2 0.0000 0.0000 0.1745 1
Y3 0.3333 0.6667 0.6667 1
Y4 0.3333 0.6667 0.8412 1
Y5 0.6667 0.3333 0.3333 1
Y6 0.6667 0.3333 0.5079 1
Si1 0.0000 0.0000 0.5868 1
Si2 0.3333 0.6667 0.2535 1
Si3 0.6667 0.3333 0.9201 1
S1 0.0000 0.0000 0.7565 1
S2 0.3333 0.6667 0.4232 1
S3 0.6667 0.3333 0.0899 1
```

Results
Mass density   4.14 g/cm3
Symmetry   R3m (160)
Size of the total moment   0.00 Bohr magnetons per cell
Formation energy (no corrections)   -1.25 eV/atom
Distance to the lowest polymorph of the same formula   4.052 kcal/mol of atoms
Final energy   -6.873 eV/atom